# 1
{
  "formula": "KSrZrN2",
  "functional": "SCAN",
  "state": "single point on PBEsol structure",
  "magmom_total_mub_per_cell": 3.4,
  "dos_at_fermi_per_ev_fu": 1.22,
  "energy_ev_per_cell": -71.5,
  "cell": [[4.7088, 0.0000, 0.0000], [0.0000, 4.7088, 0.0000], [0.0000, 0.0000, 4.9930]],
  "species": ["Sr", "K", "Zr", "N", "N"],
  "fractional_positions": [[0.0000, 0.0000, 0.0000], [0.0000, 0.0000, 0.5000], [0.5000, 0.5000, 0.5000], [0.0000, 0.5000, 0.0000], [0.5000, 0.0000, 0.0000]]
}

# 2
{
  "formula": "IrOs3",
  "functional": "SCAN",
  "state": "single point on PBEsol structure",
  "magmom_total_mub_per_cell": 0.0,
  "dos_at_fermi_per_ev_fu": 3.26,
  "delta_e_f_mev_per_atom": 84,
  "energy_ev_per_cell": -286.4,
  "cell": [[3.8234, 0.0000, 0.0000], [0.0000, 3.8234, 0.0000], [0.0000, 0.0000, 3.8234]],
  "species": ["Ir", "Os", "Os", "Os"],
  "fractional_positions": [[0.0000, 0.0000, 0.0000], [0.0000, 0.5000, 0.5000], [0.5000, 0.0000, 0.5000], [0.5000, 0.5000, 0.0000]]
}